# 1
Entry from the Alexandria database: a relaxed Ba2MnPt crystal (GGA-PBEsol).

Results
Formation enthalpy at 0 K ... 292 meV/atom
Uncorrected energy ... -4.96 eV per atom
Magnetic moment ... 4.4 μB/f.u.

Lattice parameters (Å, degrees): 7.4513 7.4513 7.4513 90.00 90.00 90.00
Space group F-43m (No. 216)
Asymmetric unit:
Ba 0.0000 0.0000 0.0000
Ba 0.2500 0.2500 0.2500
Mn 0.0000 0.0000 0.5000
Pt 0.2500 0.2500 0.7500



# 2
Entry from the Alexandria database: a relaxed BaMn3Pt crystal (GGA-PBEsol).

Results
Energy relative to the lowest polymorph listed for this composition ... 1794 meV per atom
Formation enthalpy at 0 K ... 2388 meV/atom
Uncorrected energy ... -5.29 eV per atom
Magnetic moment ... 10.5 μB/f.u.

Lattice parameters (Å, degrees): 4.8060 4.8060 4.8060 90.00 90.00 90.00
Space group Pm-3m (No. 221)
Asymmetric unit:
Ba 0.0000 0.0000 0.0000
Mn 0.0000 0.0000 0.5000
Pt 0.5000 0.5000 0.5000



# 3
Entry from the Alexandria database: a relaxed BaMnPt crystal (GGA-PBEsol).

Results
Formation enthalpy at 0 K ... -50 meV/atom
Uncorrected energy ... -6.34 eV per atom
Magnetic moment ... 3.2 μB/f.u.

Lattice parameters (Å, degrees): 4.2403 4.2403 4.8709 90.00 90.00 120.00
Space group P-6m2 (No. 187)
Asymmetric unit:
Ba 0.0000 0.0000 0.0000
Mn 0.3333 0.6667 0.5000
Pt 0.6667 0.3333 0.5000